{
  "formula": "AcNdAlCu",
  "functional": "PBE-GGA",
  "state": "relaxed",
  "lattice": [[-3.445, -0.607, 4.072], [1.149, -3.384, 4.006], [1.227, 1.915, 4.863]],
  "species": ["Ac", "Nd", "Cu", "Al"],
  "frac_coords": [[0.500, 0.500, 0.500], [0.000, 0.000, 0.000], [0.250, 0.250, 0.250], [0.750, 0.750, 0.750]],
  "dft_energy_ev_per_atom": -4.321,
  "e_form_mev_per_atom": -142,
  "space_group": "F-43m, No. 216"
}